No. 1
ZrSbMo2Ir: relaxed, PBE-GGA.

Properties
N(E_F) ... 5.5 states/eV per cell
Final energy ... -6.902 eV/atom

```
ZrSbMo2Ir
1.0
-4.804 -0.382 -0.767
0.855 -2.349 -4.185
-0.042 -4.259 2.382
Mo Zr Ir Sb
2 1 1 1
direct
0.500 0.000 0.000
0.000 0.000 0.500
0.000 0.000 0.000
0.000 0.500 0.000
0.500 0.500 0.500
```

***

No. 2
Ho3Pu2S6: relaxed, PBE-GGA.

Properties
N(E_F) ... 18.8 states/eV per cell
Final energy ... -8.051 eV/atom

```
Ho3Pu2S6
1.0
-0.122 3.675 5.698
3.231 -2.218 5.536
5.288 4.308 0.022
Ho Pu S
3 2 6
direct
0.000 0.000 0.000
0.336 0.328 0.000
0.664 0.672 0.000
0.833 0.334 0.500
0.167 0.666 0.500
0.414 0.664 0.758
0.922 0.664 0.242
0.750 0.000 0.755
0.250 0.000 0.245
0.078 0.336 0.758
0.586 0.336 0.242
```

***

no.,ρ (g/cm3)
1,8.5
2,7.6